Ni3BO5 after structural relaxation. Source: Alexandria via LeMat-Bulk, functional PBE+U.

abc: 3.000 9.136 12.318
angles: 90.00 90.00 90.00
Fractional coordinates of all 36 atoms:
Ni1 0.000 0.741 0.114
Ni2 0.500 0.500 0.000
Ni3 0.500 0.500 0.280
Ni4 0.500 0.000 0.780
Ni5 0.000 0.000 0.000
Ni6 0.500 0.000 0.220
Ni7 0.500 0.000 0.500
Ni8 0.000 0.241 0.386
Ni9 0.500 0.500 0.720
Ni10 0.000 0.759 0.614
Ni11 0.000 0.500 0.500
Ni12 0.000 0.259 0.886
O1 0.000 0.148 0.542
O2 0.000 0.148 0.737
O3 0.000 0.852 0.458
O4 0.000 0.376 0.641
O5 0.500 0.385 0.421
O6 0.500 0.609 0.143
O7 0.500 0.109 0.357
O8 0.500 0.115 0.921
O9 0.000 0.352 0.042
O10 0.000 0.648 0.958
O11 0.000 0.124 0.141
O12 0.000 0.352 0.237
O13 0.000 0.624 0.359
O14 0.500 0.891 0.643
O15 0.000 0.852 0.263
O16 0.500 0.885 0.079
O17 0.000 0.648 0.763
O18 0.000 0.876 0.859
O19 0.500 0.615 0.579
O20 0.500 0.391 0.857
B1 0.000 0.276 0.139
B2 0.000 0.224 0.639
B3 0.000 0.724 0.861
B4 0.000 0.776 0.361

Output
- Raw total energy: -207.54 eV per cell
- Space group: Pbam, No. 55
- Size of the total moment: 5.000 μB/f.u.
- N(E_F): 2.931 states/eV/f.u.